VASP calculation (PBE-GGA) on crystalline Ca2LaOs at its relaxed geometry.

abc: 7.401 7.401 7.401
angles: 90.00 90.00 90.00
Space group Fm-3m (No. 225)
Symmetry-distinct sites (fractional):
1 Ca 0.250 0.250 0.250 (multiplicity 8)
2 La 0.000 0.000 0.000 (multiplicity 4)
3 Os 0.000 0.000 0.500 (multiplicity 4)

Computed properties:
* magnetization: 0.00 μB per cell
* DOS(E_F): 16.83 states/eV/cell
* E_tot: -4.5478 eV/atom
* energy of formation from the pure elements: 0.492 eV per atom